Record 1
Entry from Alexandria via LeMat-Bulk: a relaxed structure of RbSrRuO3 (PBE).

Formation energy (no corrections) ... -1.63 eV per atom
Electronic total energy ... -73.22 eV/cell

a b c (Å): 7.221 7.221 7.639
angles (deg): 104.55 104.55 32.30
Element x y z (fractional)
Rb  0.138  0.138  0.066
Rb  0.862  0.862  0.934
Sr  0.162  0.162  0.586
Sr  0.838  0.838  0.414
Ru  0.498  0.498  0.656
Ru  0.502  0.502  0.344
O  0.004  0.004  0.314
O  0.351  0.351  0.631
O  0.359  0.359  0.218
O  0.641  0.641  0.782
O  0.649  0.649  0.369
O  0.996  0.996  0.686

***

Record 2
Entry from Alexandria via LeMat-Bulk: a relaxed structure of RbSrRuO4 (PBE).

Formation energy (no corrections) ... -1.59 eV per atom
Electronic total energy ... -85.71 eV/cell

a b c (Å): 6.403 6.023 7.626
angles (deg): 90.00 106.19 90.00
Element x y z (fractional)
Rb  0.236  0.250  0.442
Rb  0.764  0.750  0.558
Sr  0.304  0.250  0.956
Sr  0.696  0.750  0.044
Ru  0.227  0.750  0.165
Ru  0.773  0.250  0.835
O  0.065  0.750  0.929
O  0.071  0.750  0.328
O  0.451  0.534  0.196
O  0.451  0.966  0.196
O  0.549  0.034  0.804
O  0.549  0.466  0.804
O  0.929  0.250  0.672
O  0.935  0.250  0.071

***

Record 3
Entry from Alexandria via LeMat-Bulk: a relaxed structure of Rb3Sr2RuO6 (PBE).

Formation energy (no corrections) ... -1.71 eV per atom
Electronic total energy ... -65.78 eV/cell

a b c (Å): 6.169 6.169 6.757
angles (deg): 98.73 98.73 119.97
Element x y z (fractional)
Rb  0.000  0.000  0.000
Rb  0.335  0.665  0.000
Rb  0.665  0.335  0.000
Sr  0.167  0.833  0.500
Sr  0.833  0.167  0.500
Ru  0.500  0.500  0.500
O  0.166  0.440  0.322
O  0.284  0.284  0.680
O  0.440  0.166  0.322
O  0.560  0.834  0.678
O  0.716  0.716  0.320
O  0.834  0.560  0.678

***

Record 4
Entry from Alexandria via LeMat-Bulk: a relaxed structure of RbSrRuO6 (PBE).

Formation energy (no corrections) ... -1.30 eV per atom
Electronic total energy ... -53.36 eV/cell

a b c (Å): 4.499 5.681 5.912
angles (deg): 65.43 79.13 85.99
Element x y z (fractional)
Rb  0.000  0.000  0.000
Sr  0.432  0.348  0.350
Ru  0.728  0.644  0.701
O  0.147  0.908  0.483
O  0.411  0.795  0.396
O  0.433  0.399  0.874
O  0.592  0.948  0.703
O  0.891  0.533  0.988
O  0.906  0.490  0.495

***

Record 5
Entry from Alexandria via LeMat-Bulk: a relaxed structure of RbSr2RuO5 (PBE).

Formation energy (no corrections) ... -1.92 eV per atom
Electronic total energy ... -55.63 eV/cell

a b c (Å): 6.826 6.826 6.826
angles (deg): 145.90 125.10 66.23
Element x y z (fractional)
Rb  0.000  0.000  0.000
Sr  0.280  0.780  0.500
Sr  0.720  0.220  0.500
Ru  0.500  0.500  0.000
O  0.157  0.371  0.786
O  0.415  0.629  0.786
O  0.500  0.000  0.500
O  0.585  0.371  0.214
O  0.843  0.629  0.214

***

Record 6
Entry from Alexandria via LeMat-Bulk: a relaxed structure of RbTaRuO6 (PBE).

Formation energy (no corrections) ... -1.73 eV per atom
Electronic total energy ... -67.41 eV/cell

a b c (Å): 5.329 5.329 6.348
angles (deg): 90.00 90.00 120.00
Element x y z (fractional)
Rb  0.000  0.000  0.000
Ta  0.667  0.333  0.500
Ru  0.333  0.667  0.500
O  0.008  0.405  0.324
O  0.008  0.603  0.676
O  0.397  0.405  0.676
O  0.397  0.992  0.324
O  0.595  0.603  0.324
O  0.595  0.992  0.676

***

Record 7
Entry from Alexandria via LeMat-Bulk: a relaxed structure of Rb2TbRuO6 (PBE).

Formation energy (no corrections) ... -1.58 eV per atom
Electronic total energy ... -61.42 eV/cell

a b c (Å): 6.403 6.403 5.771
angles (deg): 90.00 90.00 120.00
Element x y z (fractional)
Rb  0.333  0.667  0.374
Rb  0.667  0.333  0.626
Tb  0.000  0.000  0.000
Ru  0.000  0.000  0.500
O  0.137  0.274  0.705
O  0.137  0.863  0.705
O  0.274  0.137  0.295
O  0.726  0.863  0.705
O  0.863  0.137  0.295
O  0.863  0.726  0.295

***

Record 8
Entry from Alexandria via LeMat-Bulk: a relaxed structure of Rb4Tb3RuO8 (PBE).

Formation energy (no corrections) ... -2.17 eV per atom
Electronic total energy ... -101.48 eV/cell

a b c (Å): 7.631 7.631 7.631
angles (deg): 53.71 53.71 53.71
Element x y z (fractional)
Rb  0.000  0.000  0.000
Rb  0.000  0.500  0.500
Rb  0.500  0.000  0.500
Rb  0.500  0.500  0.000
Tb  0.000  0.000  0.500
Tb  0.000  0.500  0.000
Tb  0.500  0.000  0.000
Ru  0.500  0.500  0.500
O  0.226  0.226  0.226
O  0.238  0.719  0.719
O  0.281  0.281  0.762
O  0.281  0.762  0.281
O  0.719  0.238  0.719
O  0.719  0.719  0.238
O  0.762  0.281  0.281
O  0.774  0.774  0.774

***

Record 9
Entry from Alexandria via LeMat-Bulk: a relaxed structure of Rb2Tb2RuO6 (PBE).

Formation energy (no corrections) ... -2.18 eV per atom
Electronic total energy ... -74.18 eV/cell

a b c (Å): 5.806 5.806 6.878
angles (deg): 97.46 97.46 119.53
Element x y z (fractional)
Rb  0.163  0.837  0.000
Rb  0.837  0.163  0.000
Tb  0.335  0.665  0.500
Tb  0.665  0.335  0.500
Ru  0.000  0.000  0.500
O  0.048  0.358  0.664
O  0.250  0.250  0.334
O  0.358  0.048  0.664
O  0.642  0.952  0.336
O  0.750  0.750  0.666
O  0.952  0.642  0.336

***

Record 10
Entry from Alexandria via LeMat-Bulk: a relaxed structure of RbTb2RuO8 (PBE).

Formation energy (no corrections) ... -1.87 eV per atom
Electronic total energy ... -81.60 eV/cell

a b c (Å): 4.355 5.177 7.457
angles (deg): 89.33 74.17 87.93
Element x y z (fractional)
Rb  0.000  0.000  0.000
Tb  0.389  0.523  0.305
Tb  0.611  0.477  0.695
Ru  0.000  0.000  0.500
O  0.163  0.315  0.594
O  0.223  0.774  0.619
O  0.324  0.497  0.010
O  0.345  0.982  0.280
O  0.655  0.018  0.720
O  0.676  0.503  0.990
O  0.777  0.226  0.381
O  0.837  0.685  0.406

***

Record 11
Entry from Alexandria via LeMat-Bulk: a relaxed structure of Rb2TbRu3O12 (PBE).

Formation energy (no corrections) ... -1.28 eV per atom
Electronic total energy ... -116.91 eV/cell

a b c (Å): 7.558 7.558 7.558
angles (deg): 58.01 58.01 58.01
Element x y z (fractional)
Rb  0.116  0.116  0.116
Rb  0.884  0.884  0.884
Tb  0.500  0.500  0.500
Ru  0.000  0.500  0.500
Ru  0.500  0.000  0.500
Ru  0.500  0.500  0.000
O  0.139  0.579  0.579
O  0.197  0.197  0.577
O  0.197  0.577  0.197
O  0.421  0.421  0.861
O  0.421  0.861  0.421
O  0.423  0.803  0.803
O  0.577  0.197  0.197
O  0.579  0.139  0.579
O  0.579  0.579  0.139
O  0.803  0.423  0.803
O  0.803  0.803  0.423
O  0.861  0.421  0.421

***

Record 12
Entry from Alexandria via LeMat-Bulk: a relaxed structure of RbTbRu2O8 (PBE).

Formation energy (no corrections) ... -1.49 eV per atom
Electronic total energy ... -81.69 eV/cell

a b c (Å): 5.980 5.980 8.060
angles (deg): 90.00 90.00 120.00
Element x y z (fractional)
Rb  0.000  0.000  0.000
Tb  0.000  0.000  0.500
Ru  0.333  0.667  0.752
Ru  0.667  0.333  0.248
O  0.155  0.339  0.676
O  0.185  0.845  0.676
O  0.333  0.667  0.969
O  0.339  0.185  0.324
O  0.661  0.815  0.676
O  0.667  0.333  0.031
O  0.815  0.155  0.324
O  0.845  0.661  0.324

***

Record 13
Entry from Alexandria via LeMat-Bulk: a relaxed structure of RbTbRuO6 (PBE).

Formation energy (no corrections) ... -1.51 eV per atom
Electronic total energy ... -58.21 eV/cell

a b c (Å): 5.658 5.658 6.133
angles (deg): 90.00 90.00 120.00
Element x y z (fractional)
Rb  0.000  0.000  0.000
Tb  0.333  0.667  0.500
Ru  0.667  0.333  0.500
O  0.412  0.048  0.679
O  0.412  0.364  0.321
O  0.636  0.048  0.321
O  0.636  0.588  0.679
O  0.952  0.364  0.679
O  0.952  0.588  0.321

***

Record 14
Entry from Alexandria via LeMat-Bulk: a relaxed structure of RbTc2RuO8 (PBE).

Formation energy (no corrections) ... -1.36 eV per atom
Electronic total energy ... -86.92 eV/cell

a b c (Å): 5.473 5.473 8.199
angles (deg): 90.00 90.00 120.00
Element x y z (fractional)
Rb  0.000  0.000  0.000
Tc  0.333  0.667  0.715
Tc  0.667  0.333  0.285
Ru  0.000  0.000  0.500
O  0.067  0.323  0.645
O  0.256  0.933  0.645
O  0.323  0.256  0.355
O  0.333  0.667  0.928
O  0.667  0.333  0.072
O  0.677  0.744  0.645
O  0.744  0.067  0.355
O  0.933  0.677  0.355

***

Record 15
Entry from Alexandria via LeMat-Bulk: a relaxed structure of RbTcRuO6 (PBE).

Formation energy (no corrections) ... -1.26 eV per atom
Electronic total energy ... -61.69 eV/cell

a b c (Å): 5.331 5.331 6.185
angles (deg): 90.00 90.00 120.00
Element x y z (fractional)
Rb  0.000  0.000  0.000
Tc  0.333  0.667  0.500
Ru  0.667  0.333  0.500
O  0.005  0.399  0.670
O  0.005  0.606  0.330
O  0.394  0.399  0.330
O  0.394  0.995  0.670
O  0.601  0.606  0.670
O  0.601  0.995  0.330

***

Record 16
Entry from Alexandria via LeMat-Bulk: a relaxed structure of RbThRu2O8 (PBE).

Formation energy (no corrections) ... -1.59 eV per atom
Electronic total energy ... -85.70 eV/cell

a b c (Å): 6.036 6.036 8.165
angles (deg): 90.00 90.00 120.00
Element x y z (fractional)
Rb  0.000  0.000  0.000
Th  0.000  0.000  0.500
Ru  0.333  0.667  0.762
Ru  0.667  0.333  0.238
O  0.172  0.344  0.674
O  0.172  0.828  0.674
O  0.333  0.667  0.976
O  0.344  0.172  0.326
O  0.656  0.828  0.674
O  0.667  0.333  0.024
O  0.828  0.172  0.326
O  0.828  0.656  0.326

***

Record 17
Entry from Alexandria via LeMat-Bulk: a relaxed structure of RbTiRuO6 (PBE).

Formation energy (no corrections) ... -1.61 eV per atom
Electronic total energy ... -62.39 eV/cell

a b c (Å): 5.255 5.255 6.268
angles (deg): 90.00 90.00 120.00
Element x y z (fractional)
Rb  0.000  0.000  0.000
Ti  0.333  0.667  0.465
Ru  0.667  0.333  0.517
O  0.416  0.004  0.676
O  0.416  0.402  0.319
O  0.588  0.584  0.676
O  0.598  0.014  0.319
O  0.986  0.584  0.319
O  0.996  0.412  0.676

***

Record 18
Entry from Alexandria via LeMat-Bulk: a relaxed structure of RbTlRu2O6 (PBE).

Formation energy (no corrections) ... -0.92 eV per atom
Electronic total energy ... -121.76 eV/cell

a b c (Å): 8.197 8.197 7.311
angles (deg): 105.27 105.27 83.07
Element x y z (fractional)
Rb  0.126  0.874  0.750
Rb  0.874  0.126  0.250
Tl  0.440  0.560  0.250
Tl  0.560  0.440  0.750
Ru  0.087  0.415  0.840
Ru  0.415  0.087  0.340
Ru  0.585  0.913  0.660
Ru  0.913  0.585  0.160
O  0.033  0.223  0.669
O  0.097  0.426  0.109
O  0.223  0.033  0.169
O  0.260  0.521  0.826
O  0.426  0.097  0.609
O  0.479  0.740  0.674
O  0.521  0.260  0.326
O  0.574  0.903  0.391
O  0.740  0.479  0.174
O  0.777  0.967  0.831
O  0.903  0.574  0.891
O  0.967  0.777  0.331

***

Record 19
Entry from Alexandria via LeMat-Bulk: a relaxed structure of RbTlRu2O8 (PBE).

Formation energy (no corrections) ... -0.94 eV per atom
Electronic total energy ... -72.79 eV/cell

a b c (Å): 5.486 5.486 9.036
angles (deg): 92.42 92.42 72.36
Element x y z (fractional)
Rb  0.000  0.000  0.000
Tl  0.000  0.000  0.500
Ru  0.418  0.418  0.741
Ru  0.582  0.582  0.259
O  0.246  0.698  0.260
O  0.302  0.754  0.740
O  0.304  0.304  0.576
O  0.312  0.312  0.899
O  0.688  0.688  0.101
O  0.696  0.696  0.424
O  0.698  0.246  0.260
O  0.754  0.302  0.740

***

Record 20
Entry from Alexandria via LeMat-Bulk: a relaxed structure of Rb3Tl3RuO8 (PBE).

Formation energy (no corrections) ... -1.00 eV per atom
Electronic total energy ... -73.95 eV/cell

a b c (Å): 6.903 6.903 7.679
angles (deg): 116.95 116.95 60.47
Element x y z (fractional)
Rb  0.000  0.000  0.000
Rb  0.000  0.500  0.000
Rb  0.500  0.000  0.000
Tl  0.000  0.500  0.500
Tl  0.500  0.000  0.500
Tl  0.500  0.500  0.500
Ru  0.000  0.000  0.500
O  0.195  0.774  0.666
O  0.199  0.199  0.667
O  0.226  0.805  0.334
O  0.277  0.277  0.318
O  0.723  0.723  0.682
O  0.774  0.195  0.666
O  0.801  0.801  0.333
O  0.805  0.226  0.334